Compound: Ba2SrAu
Source: Alexandria
Functional: meta-GGA SCAN
Structure: single point on PBEsol structure

Structure (POSCAR):
```
Ba2SrAu
1.0
4.294 0.000 0.000
0.000 4.853 0.000
0.000 0.000 17.322
Ba Sr Au
4 2 2
Direct
0.000 0.000 0.000
0.000 0.500 0.500
0.500 0.000 0.342
0.500 0.500 0.842
0.000 0.000 0.678
0.000 0.500 0.178
0.500 0.000 0.538
0.500 0.500 0.038
```

Properties
The value obtained for the theoretical density is 5.145 g/cm³. As for the energy relative to the elements: -430 meV/atom. The density of states at the Fermi level comes out at 0.8641 states/eV/atom. The uncorrected energy comes out at -43.06 eV per atom.